Entry 1:
The following is a GGA-PBE calculation of SrMg2Ga2N4 after structural relaxation, from Alexandria.

- Fermi-level density of states (states/eV/f.u.) = 0.0
- uncorrected formation energy (eV per atom) = -0.646
- crystal system = monoclinic
- symmetry = Cm (8)

Cell: 6.1755 6.1755 8.3970 Å, 132.76 132.76 31.65°
Sites, in units of the cell vectors:
Sr1 0.0000 0.0000 0.0000
Mg1 0.3568 0.3568 0.1831
Mg2 0.8163 0.8163 0.4514
Ga1 0.1798 0.1798 0.5437
Ga2 0.6255 0.6255 0.8217
N1 0.2137 0.2137 0.8078
N2 0.4011 0.4011 0.6530
N3 0.5936 0.5936 0.3619
N4 0.7379 0.7379 0.1423

=====

Entry 2:
The following is a GGA-PBE calculation of Sm4HgN2 after structural relaxation, from Alexandria.

- Fermi-level density of states (states/eV/f.u.) = 6.5
- uncorrected formation energy (eV per atom) = -0.905
- crystal system = trigonal
- symmetry = R-3m (166)

Cell: 14.2922 14.2922 14.2922 Å, 14.53 14.53 14.53°
Sites, in units of the cell vectors:
Sm1 0.1247 0.1247 0.1247
Sm2 0.2732 0.2732 0.2732
Sm3 0.7268 0.7268 0.7268
Sm4 0.8753 0.8753 0.8753
Hg1 0.0000 0.0000 0.0000
N1 0.4269 0.4269 0.4269
N2 0.5731 0.5731 0.5731

=====

Entry 3:
The following is a GGA-PBE calculation of Ba3ErTa2O9 after structural relaxation, from Alexandria.

- Fermi-level density of states (states/eV/f.u.) = 3.4
- uncorrected formation energy (eV per atom) = -3.062
- crystal system = trigonal
- symmetry = P-3m1 (164)

Cell: 5.9523 5.9523 7.2943 Å, 90.00 90.00 120.00°
Sites, in units of the cell vectors:
Ba1 0.0000 0.0000 0.0000
Ba2 0.3333 0.6667 0.6670
Ba3 0.6667 0.3333 0.3330
Er1 0.0000 0.0000 0.5000
Ta1 0.3333 0.6667 0.1636
Ta2 0.6667 0.3333 0.8364
O1 0.0000 0.5000 0.0000
O2 0.1747 0.3493 0.3198
O3 0.1747 0.8253 0.3198
O4 0.3493 0.1747 0.6802
O5 0.5000 0.0000 0.0000
O6 0.5000 0.5000 0.0000
O7 0.6507 0.8253 0.3198
O8 0.8253 0.1747 0.6802
O9 0.8253 0.6507 0.6802

=====

Entry 4:
The following is a GGA-PBE calculation of CsLaSiTe4 after structural relaxation, from Alexandria.

- uncorrected formation energy (eV per atom) = -0.924
- crystal system = monoclinic
- symmetry = P2_1/m (11)

Cell: 7.3235 7.6554 10.5965 Å, 90.00 109.22 90.00°
Sites, in units of the cell vectors:
Cs1 0.2460 0.2500 0.0608
Cs2 0.7540 0.7500 0.9392
La1 0.2337 0.2500 0.5507
La2 0.7663 0.7500 0.4493
Si1 0.2063 0.7500 0.3277
Si2 0.7937 0.2500 0.6723
Te1 0.0211 0.5091 0.7105
Te2 0.0211 0.9909 0.7105
Te3 0.4002 0.7500 0.1714
Te4 0.4118 0.7500 0.5711
Te5 0.5882 0.2500 0.4289
Te6 0.5998 0.2500 0.8286
Te7 0.9789 0.0091 0.2895
Te8 0.9789 0.4909 0.2895

=====

So what do the calculations give for size of the total moment? Going down the list: 0.00, 0.00, 0.00, 0.00 Bohr magnetons per cell.
So what do the calculations give for V? Going down the list: 119.05, 160.04, 223.81, 560.97 Å³ per cell.